Entry 1:
Here is a geometry-optimized La3CdIr structure from Alexandria. Energies are from GGA-PBE.

Computed properties:
E above lowest polymorph = 284.0 meV/atom
E = -51.16 eV for the cell shown
volume = 314.04 Å³ per cell

a = 7.3344 Å, b = 7.3344 Å, c = 6.1445 Å
α = 90.00°, β = 90.00°, γ = 108.18°
Last column: nearest neighbours and their distance in Å.
Atoms (fractional coordinates):
La 0.0000 0.0000 0.0000  2 Ir 2.93, 2 La 3.07
La 0.0000 0.0000 0.5000  2 Ir 2.93, 2 La 3.07
La 0.1246 0.5096 0.7500  1 Ir 2.74
La 0.4904 0.8754 0.7500  1 Ir 2.74
La 0.5096 0.1246 0.2500  1 Ir 2.74
La 0.8754 0.4904 0.2500  1 Ir 2.74
Cd 0.4415 0.5585 0.2500  1 Ir 2.75
Cd 0.5585 0.4415 0.7500  1 Ir 2.75
Ir 0.2096 0.7904 0.2500  4 La 2.74-2.93, 1 Cd 2.75
Ir 0.7904 0.2096 0.7500  4 La 2.74-2.93, 1 Cd 2.75

***

Entry 2:
Here is a geometry-optimized AcNd5In2 structure from Alexandria. Energies are from GGA-PBE.

Computed properties:
E above lowest polymorph = 28.0 meV/atom
E = -34.88 eV for the cell shown
volume = 270.74 Å³ per cell

a = 8.7126 Å, b = 8.7126 Å, c = 8.7126 Å
α = 154.79°, β = 102.31°, γ = 83.23°
Last column: nearest neighbours and their distance in Å.
Atoms (fractional coordinates):
Ac 0.0000 0.0000 0.0000  4 In 3.64, 2 Ac 3.80, 8 Nd 4.02
Nd 0.1397 0.3611 0.7786  3 In 3.31-3.47, 5 Nd 3.52-3.62
Nd 0.4176 0.6389 0.7786  3 In 3.31-3.47, 5 Nd 3.52-3.62
Nd 0.5000 0.0000 0.5000  2 In 3.41, 10 Nd 3.57-3.80
Nd 0.5824 0.3611 0.2214  3 In 3.31-3.47, 5 Nd 3.52-3.62
Nd 0.8603 0.6389 0.2214  3 In 3.31-3.47, 5 Nd 3.52-3.62
In 0.2380 0.7380 0.5000  7 Nd 3.31-3.47, 2 Ac 3.64
In 0.7620 0.2620 0.5000  7 Nd 3.31-3.47, 2 Ac 3.64

***

Entry 3:
Here is a geometry-optimized Ac6Ga2Os structure from Alexandria. Energies are from GGA-PBE.

Computed properties:
E = -87.55 eV for the cell shown
volume = 675.16 Å³ per cell

a = 7.4712 Å, b = 8.2346 Å, c = 13.0668 Å
α = 90.00°, β = 122.87°, γ = 90.00°
Last column: nearest neighbours and their distance in Å.
Atoms (fractional coordinates):
Ac 0.1192 0.0374 0.2522  1 Os 2.93, 2 Ga 3.26-3.27
Ac 0.1192 0.4626 0.7522  1 Os 2.93, 2 Ga 3.26-3.27
Ac 0.2310 0.6870 0.0628  1 Os 2.96, 1 Ga 3.30
Ac 0.2310 0.8130 0.5628  1 Os 2.96, 1 Ga 3.30
Ac 0.3786 0.1812 0.0602  1 Os 2.90
Ac 0.3786 0.3188 0.5602  1 Os 2.90
Ac 0.6214 0.6812 0.4398  1 Os 2.90
Ac 0.6214 0.8188 0.9398  1 Os 2.90
Ac 0.7690 0.1870 0.4372  1 Os 2.96, 1 Ga 3.30
Ac 0.7690 0.3130 0.9372  1 Os 2.96, 1 Ga 3.30
Ac 0.8808 0.5374 0.2478  1 Os 2.93, 2 Ga 3.26-3.27
Ac 0.8808 0.9626 0.7478  1 Os 2.93, 2 Ga 3.26-3.27
Ga 0.3002 0.1001 0.7577  6 Ac 3.25-3.45
Ga 0.3002 0.3999 0.2577  6 Ac 3.25-3.45
Ga 0.6998 0.6001 0.7423  6 Ac 3.25-3.45
Ga 0.6998 0.8999 0.2423  6 Ac 3.25-3.45
Os 0.0000 0.0000 0.0000  6 Ac 2.90-2.96
Os 0.0000 0.5000 0.5000  6 Ac 2.90-2.96

***

Entry 4:
Here is a geometry-optimized SmSc5Ag6 structure from Alexandria. Energies are from GGA-PBE.

Computed properties:
E = -56.58 eV for the cell shown
volume = 254.01 Å³ per cell

a = 8.5511 Å, b = 8.5511 Å, c = 4.9445 Å
α = 106.69°, β = 106.69°, γ = 47.73°
Last column: nearest neighbours and their distance in Å.
Atoms (fractional coordinates):
Sm 0.0000 0.0000 0.0000  8 Ag 3.11-3.14, 2 Sc 3.46
Sc 0.1656 0.1656 0.6655  8 Ag 2.91-3.09
Sc 0.3320 0.3320 0.3324  8 Ag 2.95-2.98
Sc 0.5000 0.5000 0.0000  8 Ag 2.93-3.06
Sc 0.6680 0.6680 0.6676  8 Ag 2.95-2.98
Sc 0.8344 0.8344 0.3345  8 Ag 2.91-3.09
Ag 0.0872 0.5665 0.8273  7 Sc 2.91-3.06, 1 Sm 3.14
Ag 0.2716 0.7284 0.5000  6 Sc 2.93-3.09, 2 Sm 3.11, 1 Ag 3.16
Ag 0.4335 0.9128 0.1727  7 Sc 2.91-3.06, 1 Sm 3.14
Ag 0.5665 0.0872 0.8273  7 Sc 2.91-3.06, 1 Sm 3.14
Ag 0.7284 0.2716 0.5000  6 Sc 2.93-3.09, 2 Sm 3.11, 1 Ag 3.16
Ag 0.9128 0.4335 0.1727  7 Sc 2.91-3.06, 1 Sm 3.14

***

Entry 5:
Here is a geometry-optimized NiBSb3 structure from Alexandria. Energies are from GGA-PBE.

Computed properties:
ΔE_f (raw) = 4.7 eV per formula unit
E above lowest polymorph = 0.0 meV/atom
E = -20.08 eV for the cell shown
volume = 104.74 Å³ per cell

a = 4.7138 Å, b = 4.7138 Å, c = 4.7138 Å
α = 90.00°, β = 90.00°, γ = 90.00°
Last column: nearest neighbours and their distance in Å.
Atoms (fractional coordinates):
Ni 0.0000 0.0000 0.0000  12 Sb 3.33
B 0.5000 0.5000 0.5000  6 Sb 2.36
Sb 0.0000 0.5000 0.5000  2 B 2.36
Sb 0.5000 0.0000 0.5000  2 B 2.36
Sb 0.5000 0.5000 0.0000  2 B 2.36

***

Entry 6:
Here is a geometry-optimized Ba2CrHg structure from Alexandria. Energies are from GGA-PBE.

Computed properties:
E = -24.17 eV for the cell shown
volume = 326.12 Å³ per cell

a = 7.5613 Å, b = 7.5613 Å, c = 7.5613 Å
α = 105.03°, β = 105.03°, γ = 118.77°
Last column: nearest neighbours and their distance in Å.
Atoms (fractional coordinates):
Ba 0.1229 0.6250 0.9979  2 Hg 3.38, 2 Cr 3.41
Ba 0.3750 0.3729 0.4979  2 Hg 3.38, 2 Cr 3.41
Ba 0.6271 0.1250 0.0021  2 Hg 3.38, 2 Cr 3.41
Ba 0.8750 0.8771 0.5021  2 Hg 3.38, 2 Cr 3.41
Cr 0.2500 0.7500 0.5000  4 Ba 3.41
Cr 0.5000 0.5000 0.0000  4 Ba 3.41
Hg 0.0000 0.0000 0.0000  4 Ba 3.38
Hg 0.7500 0.2500 0.5000  4 Ba 3.38

***

Entry 7:
Here is a geometry-optimized NiCl structure from Alexandria. Energies are from GGA-PBE.

Computed properties:
ΔE_f (raw) = 0.2 eV per formula unit
E = -7.39 eV for the cell shown
volume = 35.23 Å³ per cell

a = 3.6489 Å, b = 3.6489 Å, c = 3.3402 Å
α = 90.00°, β = 90.00°, γ = 127.61°
Last column: nearest neighbours and their distance in Å.
Atoms (fractional coordinates):
Ni 0.0000 0.0000 0.0000  4 Cl 2.32
Cl 0.5000 0.5000 0.5000  4 Ni 2.32

***

Entry 8:
Here is a geometry-optimized Hf2SeBr structure from Alexandria. Energies are from GGA-PBE.

Computed properties:
ΔE_f (raw) = -0.4 eV per formula unit
E above lowest polymorph = 274.7 meV/atom
E = -50.92 eV for the cell shown
volume = 178.81 Å³ per cell

a = 6.1594 Å, b = 6.1594 Å, c = 6.1594 Å
α = 106.98°, β = 106.98°, γ = 114.57°
Last column: nearest neighbours and their distance in Å.
Atoms (fractional coordinates):
Hf 0.1096 0.6250 0.9846  2 Se 2.65, 2 Br 2.80
Hf 0.3750 0.3596 0.4846  2 Se 2.65, 2 Br 2.80
Hf 0.6404 0.1250 0.0154  2 Se 2.65, 2 Br 2.80
Hf 0.8750 0.8904 0.5154  2 Se 2.65, 2 Br 2.80
Se 0.0000 0.0000 0.0000  4 Hf 2.65
Se 0.7500 0.2500 0.5000  4 Hf 2.65
Br 0.2500 0.7500 0.5000  4 Hf 2.80
Br 0.5000 0.5000 0.0000  4 Hf 2.80

***

Entry 9:
Here is a geometry-optimized NbTe2N2 structure from Alexandria. Energies are from GGA-PBE.

Computed properties:
ΔE_f (raw) = 5.9 eV per formula unit
E above lowest polymorph = 673.8 meV/atom
E = -27.12 eV for the cell shown
volume = 120.96 Å³ per cell

a = 5.5646 Å, b = 5.5646 Å, c = 3.9064 Å
α = 90.00°, β = 90.00°, γ = 90.00°
Last column: nearest neighbours and their distance in Å.
Atoms (fractional coordinates):
Nb 0.0000 0.0000 0.0000  2 N 1.95
Te 0.0000 0.5000 0.0000  2 Nb 2.78
Te 0.5000 0.0000 0.0000  2 Nb 2.78
N 0.0000 0.0000 0.5000  2 Nb 1.95
N 0.5000 0.5000 0.5000  8 Te 3.40

***

Entry 10:
Here is a geometry-optimized Pr4GeSBr2 structure from Alexandria. Energies are from GGA-PBE.

Computed properties:
ΔE_f (raw) = -11.2 eV per formula unit
E = -42.45 eV for the cell shown
volume = 228.89 Å³ per cell

a = 7.2654 Å, b = 4.2627 Å, c = 7.8084 Å
α = 90.00°, β = 108.83°, γ = 90.00°
Last column: nearest neighbours and their distance in Å.
Atoms (fractional coordinates):
Pr 0.2244 0.0000 0.2023  2 S 2.83, 1 Ge 2.92
Pr 0.2521 0.5000 0.7922  1 S 2.81, 2 Ge 2.92
Pr 0.7479 0.5000 0.2078  1 S 2.81, 2 Ge 2.92
Pr 0.7756 0.0000 0.7977  2 S 2.83, 1 Ge 2.92
Ge 0.5000 0.0000 0.0000  6 Pr 2.92
S 0.0000 0.5000 0.0000  6 Pr 2.81-2.83
Br 0.0000 0.0000 0.5000  6 Pr 3.23-3.24
Br 0.5000 0.5000 0.5000  6 Pr 3.31-3.33